# 1
The following is a GGA-PBE calculation of CsPuVS4 after structural relaxation, from Alexandria via LeMat-Bulk.

a = 6.5071 Å, b = 6.6497 Å, c = 9.5542 Å
α = 90.00°, β = 108.45°, γ = 90.00°
Last column: magnetic moment on the atom in μB.
Atoms (fractional coordinates):
V: 0.7810 0.2500 0.6600  0.84
V: 0.2190 0.7500 0.3400  0.84
Pu: 0.2237 0.2500 0.5458  5.16
Pu: 0.7763 0.7500 0.4542  5.16
S: 0.0078 0.9934 0.6955  -0.07
S: 0.5775 0.2500 0.8045  -0.06
S: 0.4272 0.7500 0.5672  -0.07
S: 0.4225 0.7500 0.1955  -0.06
S: 0.9922 0.0066 0.3045  -0.07
S: 0.5728 0.2500 0.4328  -0.07
S: 0.9922 0.4934 0.3045  -0.07
S: 0.0078 0.5066 0.6955  -0.07
Cs: 0.2699 0.2500 0.0625  0.00
Cs: 0.7301 0.7500 0.9375  0.00

Output
ΔE_f (raw)   -9.0 eV per formula unit
Space-group type   P2_1/m (11)
Magnetization   0.857 μB/atom
VASP energy   -7.121 eV per atom

# 2
The following is a GGA-PBE calculation of Cs3Y3PuS8 after structural relaxation, from Alexandria via LeMat-Bulk.

a = 8.1219 Å, b = 8.1224 Å, c = 9.4481 Å
α = 115.49°, β = 90.00°, γ = 120.00°
Last column: magnetic moment on the atom in μB.
Atoms (fractional coordinates):
Y: 0.0000 0.5000 0.5000  0.00
Y: 0.5000 0.0000 0.5000  0.00
Y: 0.5000 0.5000 0.5000  0.00
S: 0.7778 0.0454 0.3235  -0.07
S: 0.7268 0.4535 0.6801  0.00
S: 0.7324 0.9546 0.6765  -0.07
S: 0.2676 0.0454 0.3235  -0.07
S: 0.2222 0.4444 0.6766  -0.07
S: 0.2222 0.9546 0.6765  -0.07
S: 0.2732 0.5465 0.3199  0.00
S: 0.7778 0.5556 0.3234  -0.07
Cs: 0.5000 0.5000 0.0000  0.00
Cs: 0.0000 0.5000 0.0000  0.00
Cs: 0.0000 0.0000 0.0000  0.00
Pu: 0.0000 0.0000 0.5000  4.50

Output
ΔE_f (raw)   -26.5 eV per formula unit
Space-group type   R-3m (166)
Magnetization   0.267 μB/atom
VASP energy   -6.389 eV per atom

# 3
The following is a GGA-PBE calculation of Cs3YPu2S6 after structural relaxation, from Alexandria via LeMat-Bulk.

a = 7.1898 Å, b = 7.1898 Å, c = 8.3951 Å
α = 98.21°, β = 98.21°, γ = 120.00°
Last column: magnetic moment on the atom in μB.
Atoms (fractional coordinates):
Cs: 0.1661 0.8339 0.5000  0.00
Cs: 0.8339 0.1661 0.5000  0.00
Cs: 0.5000 0.5000 0.5000  0.00
S: 0.6074 0.9397 0.8193  -0.07
S: 0.7278 0.7278 0.1805  -0.07
S: 0.0603 0.3926 0.1807  -0.07
S: 0.2722 0.2722 0.8195  -0.07
S: 0.9397 0.6074 0.8193  -0.07
S: 0.3926 0.0603 0.1807  -0.07
Pu: 0.3333 0.6667 0.0000  5.05
Pu: 0.6667 0.3333 0.0000  5.05
Y: 0.0000 0.0000 0.0000  0.03

Output
ΔE_f (raw)   -19.6 eV per formula unit
Space-group type   C2/m (12)
Magnetization   0.833 μB/atom
VASP energy   -6.835 eV per atom

# 4
The following is a GGA-PBE calculation of Cs2Y2PuS6 after structural relaxation, from Alexandria via LeMat-Bulk.

a = 6.9899 Å, b = 6.9899 Å, c = 8.5937 Å
α = 98.02°, β = 98.02°, γ = 119.92°
Last column: magnetic moment on the atom in μB.
Atoms (fractional coordinates):
S: 0.0593 0.3869 0.6766  -0.06
S: 0.9407 0.6131 0.3234  -0.06
S: 0.7351 0.7351 0.6763  -0.07
S: 0.3869 0.0593 0.6766  -0.06
S: 0.2649 0.2649 0.3237  -0.07
S: 0.6131 0.9407 0.3234  -0.06
Cs: 0.8311 0.1689 0.0000  0.00
Cs: 0.1689 0.8311 0.0000  0.00
Y: 0.6665 0.3335 0.5000  0.01
Y: 0.3335 0.6665 0.5000  0.01
Pu: 0.0000 0.0000 0.5000  4.50

Output
ΔE_f (raw)   -19.2 eV per formula unit
Space-group type   C2/m (12)
Magnetization   0.364 μB/atom
VASP energy   -6.630 eV per atom

# 5
The following is a GGA-PBE calculation of Cs3Y2PuS6 after structural relaxation, from Alexandria via LeMat-Bulk.

a = 7.1772 Å, b = 7.1772 Å, c = 8.3927 Å
α = 98.20°, β = 98.20°, γ = 120.00°
Last column: magnetic moment on the atom in μB.
Atoms (fractional coordinates):
S: 0.6032 0.9396 0.8187  0.03
S: 0.2759 0.2759 0.8185  0.03
S: 0.7241 0.7241 0.1815  0.03
S: 0.0604 0.3968 0.1813  0.03
S: 0.9396 0.6032 0.8187  0.03
S: 0.3968 0.0604 0.1813  0.03
Cs: 0.8328 0.1672 0.5000  0.00
Cs: 0.1672 0.8328 0.5000  0.00
Cs: 0.5000 0.5000 0.5000  0.00
Y: 0.3334 0.6666 0.0000  -0.02
Y: 0.6666 0.3334 0.0000  -0.02
Pu: 0.0000 0.0000 0.0000  -5.01

Output
ΔE_f (raw)   -20.7 eV per formula unit
Space-group type   C2/m (12)
Magnetization   0.417 μB/atom
VASP energy   -6.271 eV per atom

# 6
The following is a GGA-PBE calculation of CsPuZnS4 after structural relaxation, from Alexandria via LeMat-Bulk.

a = 6.4083 Å, b = 6.5461 Å, c = 9.6483 Å
α = 90.00°, β = 110.50°, γ = 90.00°
Last column: magnetic moment on the atom in μB.
Atoms (fractional coordinates):
S: 0.4345 0.7500 0.1932  0.18
S: 0.0308 0.9862 0.6840  0.23
S: 0.0308 0.5138 0.6840  0.23
S: 0.9692 0.0138 0.3160  0.23
S: 0.5655 0.2500 0.8068  0.18
S: 0.9692 0.4862 0.3160  0.23
S: 0.5212 0.2500 0.4189  0.26
S: 0.4788 0.7500 0.5811  0.26
Cs: 0.2567 0.2500 0.0508  0.01
Cs: 0.7433 0.7500 0.9492  0.01
Zn: 0.7714 0.2500 0.6571  0.03
Zn: 0.2286 0.7500 0.3429  0.03
Pu: 0.2250 0.2500 0.5500  -4.30
Pu: 0.7750 0.7500 0.4500  -4.30

Output
ΔE_f (raw)   -7.1 eV per formula unit
Space-group type   P2_1/m (11)
Magnetization   0.430 μB/atom
VASP energy   -5.719 eV per atom

# 7
The following is a GGA-PBE calculation of Cs4Pu3ZnS8 after structural relaxation, from Alexandria via LeMat-Bulk.

a = 8.1655 Å, b = 9.2826 Å, c = 8.2321 Å
α = 116.31°, β = 119.73°, γ = 90.00°
Last column: magnetic moment on the atom in μB.
Atoms (fractional coordinates):
S: 0.7700 0.3198 0.5401  -0.10
S: 0.7259 0.6797 0.4518  -0.11
S: 0.2300 0.6802 0.4599  -0.10
S: 0.2657 0.3278 0.0481  -0.10
S: 0.2741 0.3203 0.5482  -0.11
S: 0.2176 0.6722 0.9519  -0.10
S: 0.7824 0.3278 0.0481  -0.10
S: 0.7343 0.6722 0.9519  -0.10
Cs: 0.0000 0.0000 0.0000  0.00
Cs: 0.5000 0.0000 0.0000  0.00
Cs: 0.0000 0.0000 0.5000  0.00
Cs: 0.5000 0.0000 0.5000  0.00
Pu: 0.0000 0.5000 0.5000  4.88
Pu: 0.5000 0.5000 0.0000  4.91
Pu: 0.5000 0.5000 0.5000  4.88
Zn: 0.0000 0.5000 0.0000  0.02

Output
ΔE_f (raw)   -21.0 eV per formula unit
Space-group type   C2/m (12)
Magnetization   0.875 μB/atom
VASP energy   -6.356 eV per atom

# 8
The following is a GGA-PBE calculation of CsPu2ZnS4 after structural relaxation, from Alexandria via LeMat-Bulk.

a = 4.0643 Å, b = 7.4736 Å, c = 14.1236 Å
α = 90.00°, β = 90.00°, γ = 105.78°
Last column: magnetic moment on the atom in μB.
Atoms (fractional coordinates):
Pu: 0.3693 0.7386 0.5510  5.34
Pu: 0.6307 0.2614 0.0510  5.34
Pu: 0.6307 0.2614 0.4490  5.34
Pu: 0.3693 0.7386 0.9490  5.34
S: 0.2540 0.5080 0.3927  -0.08
S: 0.0000 0.0000 0.5000  -0.11
S: 0.7460 0.4920 0.8927  -0.08
S: 0.5843 0.1686 0.2500  -0.04
S: 0.4157 0.8314 0.7500  -0.04
S: 0.7460 0.4920 0.6073  -0.08
S: 0.2540 0.5080 0.1073  -0.08
S: 0.0000 0.0000 0.0000  -0.11
Cs: 0.8957 0.7915 0.2500  0.01
Cs: 0.1043 0.2085 0.7500  0.01
Zn: 0.8290 0.6580 0.7500  0.01
Zn: 0.1710 0.3420 0.2500  0.01

Output
ΔE_f (raw)   -11.1 eV per formula unit
Space-group type   Cmcm (63)
Magnetization   1.375 μB/atom
VASP energy   -7.302 eV per atom

Q: Which value of VASP energy does entry 7 give?
A: -6.356 eV per atom

Q: The highest ΔE_f (raw) belongs to which entry?
A: CsPuZnS4

Q: magnetization of number 6 (CsPuZnS4)?
A: 0.430 μB/atom

Please write out number 2 again, unchanged.
The following is a GGA-PBE calculation of Cs3Y3PuS8 after structural relaxation, from Alexandria via LeMat-Bulk.

a = 8.1219 Å, b = 8.1224 Å, c = 9.4481 Å
α = 115.49°, β = 90.00°, γ = 120.00°
Last column: magnetic moment on the atom in μB.
Atoms (fractional coordinates):
Y: 0.0000 0.5000 0.5000  0.00
Y: 0.5000 0.0000 0.5000  0.00
Y: 0.5000 0.5000 0.5000  0.00
S: 0.7778 0.0454 0.3235  -0.07
S: 0.7268 0.4535 0.6801  0.00
S: 0.7324 0.9546 0.6765  -0.07
S: 0.2676 0.0454 0.3235  -0.07
S: 0.2222 0.4444 0.6766  -0.07
S: 0.2222 0.9546 0.6765  -0.07
S: 0.2732 0.5465 0.3199  0.00
S: 0.7778 0.5556 0.3234  -0.07
Cs: 0.5000 0.5000 0.0000  0.00
Cs: 0.0000 0.5000 0.0000  0.00
Cs: 0.0000 0.0000 0.0000  0.00
Pu: 0.0000 0.0000 0.5000  4.50

Output
ΔE_f (raw)   -26.5 eV per formula unit
Space-group type   R-3m (166)
Magnetization   0.267 μB/atom
VASP energy   -6.389 eV per atom